Entry 1:
The following is a DFT calculation (GGA-PBEsol) of a geometry-optimized BaSbIN2 structure.

Lattice parameters (Å, degrees): 4.9820 4.9820 6.8568 90.00 90.00 90.00
With the nearest neighbours (Å) after each atom.
Fractional coordinates of all 5 atoms:
Ba: 0.0000 0.0000 0.0000  4 N 2.49
Sb: 0.5000 0.5000 0.5000  4 I 3.52
I: 0.0000 0.0000 0.5000  2 Ba 3.43, 4 Sb 3.52
N: 0.0000 0.5000 0.0000  2 Ba 2.49
N: 0.5000 0.0000 0.0000  2 Ba 2.49

## Properties
Theoretical density: 4.04 g/cm³
Magnetization: 5.10 Bohr magnetons per cell
Formation energy from raw total energies: 7.33 eV per formula unit

---

Entry 2:
The following is a DFT calculation (GGA-PBEsol) of a geometry-optimized BaSiI2N structure.

Lattice parameters (Å, degrees): 6.0896 6.0896 3.5614 90.00 90.00 90.00
With the nearest neighbours (Å) after each atom.
Fractional coordinates of all 5 atoms:
Ba: 0.0000 0.0000 0.0000  8 I 3.53, 2 Ba 3.56
Si: 0.5000 0.5000 0.5000  2 N 1.78
I: 0.0000 0.5000 0.5000  2 Si 3.04
I: 0.5000 0.0000 0.5000  2 Si 3.04
N: 0.5000 0.5000 0.0000  2 Si 1.78

## Properties
Theoretical density: 5.45 g/cm³
Magnetization: 0.00 Bohr magnetons per cell
Formation energy from raw total energies: -2.33 eV per formula unit

---

Entry 3:
The following is a DFT calculation (GGA-PBEsol) of a geometry-optimized BaSiIN2 structure.

Lattice parameters (Å, degrees): 4.6155 4.6155 6.6600 90.00 90.00 90.00
With the nearest neighbours (Å) after each atom.
Fractional coordinates of all 5 atoms:
Ba: 0.0000 0.0000 0.0000  4 N 2.31
Si: 0.5000 0.5000 0.5000  4 I 3.26
I: 0.0000 0.0000 0.5000  4 Si 3.26, 2 Ba 3.33
N: 0.0000 0.5000 0.0000  2 Ba 2.31
N: 0.5000 0.0000 0.0000  2 Ba 2.31

## Properties
Theoretical density: 3.75 g/cm³
Magnetization: 1.44 Bohr magnetons per cell
Formation energy from raw total energies: 8.37 eV per formula unit

---

Entry 4:
The following is a DFT calculation (GGA-PBEsol) of a geometry-optimized BaNaPbI2 structure.

Lattice parameters (Å, degrees): 6.5712 6.5712 6.6927 90.00 90.00 90.00
With the nearest neighbours (Å) after each atom.
Fractional coordinates of all 5 atoms:
Ba: 0.0000 0.0000 0.0000  4 I 3.29, 2 Pb 3.35
Na: 0.5000 0.5000 0.5000  4 Pb 4.65, 8 I 4.69
Pb: 0.0000 0.0000 0.5000  2 Ba 3.35
I: 0.0000 0.5000 0.0000  2 Ba 3.29
I: 0.5000 0.0000 0.0000  2 Ba 3.29

## Properties
Theoretical density: 3.57 g/cm³
Magnetization: 2.17 Bohr magnetons per cell
Formation energy from raw total energies: -2.23 eV per formula unit

---

Entry 5:
The following is a DFT calculation (GGA-PBEsol) of a geometry-optimized BaNaSb2I structure.

Lattice parameters (Å, degrees): 5.3970 5.3970 5.9665 90.00 90.00 90.00
With the nearest neighbours (Å) after each atom.
Fractional coordinates of all 5 atoms:
Ba: 0.0000 0.0000 0.0000  4 I 3.82, 8 Sb 4.02
Na: 0.5000 0.5000 0.5000  4 Sb 2.70, 2 I 2.98
Sb: 0.0000 0.5000 0.5000  2 Na 2.70
Sb: 0.5000 0.0000 0.5000  2 Na 2.70
I: 0.5000 0.5000 0.0000  2 Na 2.98

## Properties
Theoretical density: 5.07 g/cm³
Magnetization: 0.00 Bohr magnetons per cell
Formation energy from raw total energies: -1.27 eV per formula unit

---

Entry 6:
The following is a DFT calculation (GGA-PBEsol) of a geometry-optimized BaNa2SnI structure.

Lattice parameters (Å, degrees): 6.9267 6.9267 6.2214 90.00 90.00 90.00
With the nearest neighbours (Å) after each atom.
Fractional coordinates of all 5 atoms:
Ba: 0.0000 0.0000 0.0000  2 I 3.11, 4 Na 3.46
Na: 0.0000 0.5000 0.0000  2 Ba 3.46
Na: 0.5000 0.0000 0.0000  2 Ba 3.46
Sn: 0.5000 0.5000 0.5000  8 Na 4.66, 4 I 4.90
I: 0.0000 0.0000 0.5000  2 Ba 3.11

## Properties
Theoretical density: 2.39 g/cm³
Magnetization: 1.27 Bohr magnetons per cell
Formation energy from raw total energies: 1.81 eV per formula unit